# 1
Here is crystalline LiAc5Ga4 at its relaxed geometry from the Alexandria database. Energies are from PBE.

Lattice parameters (Å, degrees): 3.9377 3.9377 19.9064 90.00 90.00 90.00
Last column: nearest neighbours and their distance in Å.
Fractional coordinates of all 10 atoms:
Ac 0.5000 0.5000 0.3035  8 Ga 3.41-3.44
Ac 0.5000 0.5000 0.6965  8 Ga 3.41-3.44
Li 0.0000 0.0000 0.0000  8 Ac 3.56, 4 Li 3.94
Ga 0.0000 0.0000 0.2024  8 Ac 3.32-3.44
Ga 0.0000 0.0000 0.4022  8 Ac 3.40-3.41
Ac 0.5000 0.5000 0.5000  8 Ga 3.40
Ga 0.0000 0.0000 0.5978  8 Ac 3.40-3.41
Ac 0.5000 0.5000 0.8888  4 Ga 3.32, 4 Li 3.56
Ga 0.0000 0.0000 0.7976  8 Ac 3.32-3.44
Ac 0.5000 0.5000 0.1112  4 Ga 3.32, 4 Li 3.56

Output
As for the space group: P4/mmm (123). The value obtained for the total magnetization is 0.0 Bohr magnetons per cell. The density of states at the Fermi level is 7.7 states/eV/cell. For the calculated total energy, the calculation gives -3.804 eV per atom.

# 2
Here is crystalline CePrHo6 at its relaxed geometry from the Alexandria database. Energies are from PBE.

Lattice parameters (Å, degrees): 6.5787 6.4829 7.4592 115.69 65.18 89.92
Last column: nearest neighbours and their distance in Å.
Fractional coordinates of all 8 atoms:
Pr 0.0000 0.0000 0.0000  2 Ce 3.24, 4 Ho 3.39-3.59
Ho 0.4998 0.7481 0.0004  6 Ho 3.21-3.47
Ho 0.4392 0.2398 0.4793  6 Ho 3.31-3.47, 1 Ce 3.34, 1 Pr 3.59
Ho 0.0885 0.7306 0.4615  6 Ho 3.31-3.42, 1 Pr 3.39, 1 Ce 3.41
Ho 0.5608 0.7602 0.5207  6 Ho 3.31-3.47, 1 Ce 3.34, 1 Pr 3.59
Ho 0.9115 0.2694 0.5385  6 Ho 3.31-3.42, 1 Pr 3.39, 1 Ce 3.41
Ho 0.5002 0.2519 0.9996  6 Ho 3.21-3.47
Ce 0.0000 0.5000 0.0000  2 Pr 3.24, 4 Ho 3.34-3.41

Output
As for the space group: P-1 (2). The value obtained for the total magnetization is 1.4 Bohr magnetons per cell. The value obtained for the energy relative to the lowest polymorph listed for this composition is 169.5 meV/atom. The density of states at the Fermi level is 15.9 states/eV/cell. For the calculated total energy, the calculation gives -4.558 eV per atom.

# 3
Here is crystalline SrAs2RuO8 at its relaxed geometry from the Alexandria database. Energies are from PBE.

Lattice parameters (Å, degrees): 5.4915 5.4915 7.0716 90.00 90.00 120.00
Last column: nearest neighbours and their distance in Å.
Fractional coordinates of all 12 atoms:
As 0.6667 0.3333 0.2516  4 O 1.68-1.73
O 0.3159 0.1580 0.1851  1 As 1.73
As 0.3333 0.6667 0.7484  4 O 1.68-1.73
O 0.6841 0.8420 0.8149  1 As 1.73
O 0.1580 0.8420 0.8149  1 As 1.73
O 0.1580 0.3159 0.8149  1 As 1.73
Ru 0.0000 0.0000 0.0000  6 O 1.99
O 0.8420 0.6841 0.1851  1 As 1.73
O 0.8420 0.1580 0.1851  1 As 1.73
O 0.3333 0.6667 0.5111  1 As 1.68
Sr 0.0000 0.0000 0.5000  6 O 2.69
O 0.6667 0.3333 0.4889  1 As 1.68

Output
As for the space group: P-3m1 (164). The formation energy from raw total energies is -1378 meV/atom. The value obtained for the total magnetization is 2.0 Bohr magnetons per cell. The density of states at the Fermi level is 3.1 states/eV/cell. For the calculated total energy, the calculation gives -6.372 eV per atom.

# 4
Here is crystalline KGe2Pb2 at its relaxed geometry from the Alexandria database. Energies are from PBE.

Lattice parameters (Å, degrees): 4.8620 4.8620 7.6087 71.37 71.37 90.00
Last column: nearest neighbours and their distance in Å.
Fractional coordinates of all 5 atoms:
Ge 0.7500 0.2500 0.5000  4 Pb 2.95
Pb 0.6275 0.6275 0.7450  4 Ge 2.95
Pb 0.3725 0.3725 0.2550  4 Ge 2.95
Ge 0.2500 0.7500 0.5000  4 Pb 2.95
K 0.0000 0.0000 0.0000  8 Pb 3.85, 8 Ge 4.17

Output
As for the space group: I4/mmm (139). The value obtained for the total magnetization is 0.0 Bohr magnetons per cell. The value obtained for the energy relative to the lowest polymorph listed for this composition is 61.9 meV/atom. The density of states at the Fermi level is 1.8 states/eV/cell. For the calculated total energy, the calculation gives -3.503 eV per atom.

# 5
Here is crystalline TeMoRh2 at its relaxed geometry from the Alexandria database. Energies are from PBE.

Lattice parameters (Å, degrees): 8.8037 8.8037 8.8037 19.74 19.74 19.74
Last column: nearest neighbours and their distance in Å.
Fractional coordinates of all 4 atoms:
Rh 0.0029 0.0029 0.0029  3 Mo 2.62, 3 Rh 2.85
Rh 0.2491 0.2491 0.2491  3 Te 2.70, 9 Rh 2.85-3.02
Te 0.5028 0.5028 0.5028  3 Rh 2.70, 3 Mo 2.93, 6 Te 3.02
Mo 0.7452 0.7452 0.7452  3 Rh 2.62, 3 Te 2.93

Output
As for the space group: R3m (160). The formation energy from raw total energies is 332 meV/atom. The value obtained for the total magnetization is 0.0 Bohr magnetons per cell. The density of states at the Fermi level is 5.4 states/eV/cell. For the calculated total energy, the calculation gives -6.837 eV per atom.

# 6
Here is crystalline LiBRh2 at its relaxed geometry from the Alexandria database. Energies are from PBE.

Lattice parameters (Å, degrees): 2.8268 2.8268 7.3297 78.84 78.84 60.16
Last column: nearest neighbours and their distance in Å.
Fractional coordinates of all 4 atoms:
Rh 0.2666 0.2666 0.1930  3 B 2.13-2.14
Li 0.5011 0.5011 0.4995  6 Rh 2.73-2.74, 6 Li 2.83
Rh 0.0661 0.0661 0.8071  3 B 2.14
B 0.6662 0.6662 0.0004  6 Rh 2.13-2.14

Output
As for the space group: Cm (8). The value obtained for the total magnetization is 0.0 Bohr magnetons per cell. The density of states at the Fermi level is 1.2 states/eV/cell. For the calculated total energy, the calculation gives -6.112 eV per atom.

# 7
Here is crystalline YCl5 at its relaxed geometry from the Alexandria database. Energies are from PBE.

Lattice parameters (Å, degrees): 6.6127 6.6127 5.8692 90.00 90.00 145.19
Last column: nearest neighbours and their distance in Å.
Fractional coordinates of all 6 atoms:
Cl 0.3043 0.6957 0.0000  4 Cl 2.88-2.91
Cl 0.5016 0.4984 0.5000  2 Y 2.63
Cl 0.7765 0.2235 0.5000  2 Y 2.63
Y 0.1391 0.8609 0.5000  4 Cl 2.63
Cl 0.9731 0.0269 0.0000  4 Cl 2.88-2.91
Cl 0.6387 0.3613 0.0000  4 Cl 2.88

Output
As for the space group: Cmmm (65). The formation energy from raw total energies is -1061 meV/atom. The value obtained for the total magnetization is 0.0 Bohr magnetons per cell. The value obtained for the energy relative to the lowest polymorph listed for this composition is 425.7 meV/atom. The density of states at the Fermi level is 3.5 states/eV/cell. For the calculated total energy, the calculation gives -3.677 eV per atom.

# 8
Here is crystalline BiHOF2 at its relaxed geometry from the Alexandria database. Energies are from PBE.

Lattice parameters (Å, degrees): 4.5068 4.5068 4.1698 90.00 90.00 90.00
Last column: nearest neighbours and their distance in Å.
Fractional coordinates of all 5 atoms:
H 0.5000 0.5000 0.5000  8 F 3.07, 4 O 3.19
Bi 0.0000 0.0000 0.0000  2 O 2.08, 4 F 2.25
O 0.0000 0.0000 0.5000  2 Bi 2.08
F 0.5000 0.0000 0.0000  2 Bi 2.25
F 0.0000 0.5000 0.0000  2 Bi 2.25

Output
As for the space group: P4/mmm (123). The value obtained for the total magnetization is 0.9 Bohr magnetons per cell. The value obtained for the energy relative to the lowest polymorph listed for this composition is 170.4 meV/atom. The density of states at the Fermi level is 1.1 states/eV/cell. For the calculated total energy, the calculation gives -4.063 eV per atom.

# 9
Here is crystalline Tl7CdIn12 at its relaxed geometry from the Alexandria database. Energies are from PBE.

Lattice parameters (Å, degrees): 8.4558 8.4558 8.4558 100.24 100.24 100.24
Last column: nearest neighbours and their distance in Å.
Fractional coordinates of all 20 atoms:
Tl 0.4179 0.1551 0.1551  6 In 3.30-3.69, 3 Tl 3.41-3.61, 1 Cd 3.47
Tl 0.8449 0.5821 0.8449  6 In 3.30-3.69, 3 Tl 3.41-3.61, 1 Cd 3.47
In 0.0000 0.7438 0.2562  6 In 3.26-3.52, 4 Tl 3.30-3.43, 1 Cd 3.33
Cd 0.0000 0.0000 0.0000  6 In 3.33, 6 Tl 3.47
In 0.8321 0.3967 0.3967  5 In 3.09-3.41, 1 Tl 3.30
Tl 0.5821 0.8449 0.8449  6 In 3.30-3.69, 3 Tl 3.41-3.61, 1 Cd 3.47
In 0.1679 0.6033 0.6033  5 In 3.09-3.41, 1 Tl 3.30
In 0.6033 0.6033 0.1679  5 In 3.09-3.41, 1 Tl 3.30
In 0.3967 0.8321 0.3967  5 In 3.09-3.41, 1 Tl 3.30
Tl 0.1551 0.1551 0.4179  6 In 3.30-3.69, 3 Tl 3.41-3.61, 1 Cd 3.47
In 0.6033 0.1679 0.6033  5 In 3.09-3.41, 1 Tl 3.30
In 0.2562 0.0000 0.7438  6 In 3.26-3.52, 4 Tl 3.30-3.43, 1 Cd 3.33
In 0.7438 0.2562 0.0000  6 In 3.26-3.52, 4 Tl 3.30-3.43, 1 Cd 3.33
Tl 0.8449 0.8449 0.5821  6 In 3.30-3.69, 3 Tl 3.41-3.61, 1 Cd 3.47
In 0.0000 0.2562 0.7438  6 In 3.26-3.52, 4 Tl 3.30-3.43, 1 Cd 3.33
Tl 0.5000 0.5000 0.5000  6 In 3.30, 6 Tl 3.61
In 0.3967 0.3967 0.8321  5 In 3.09-3.41, 1 Tl 3.30
Tl 0.1551 0.4179 0.1551  6 In 3.30-3.69, 3 Tl 3.41-3.61, 1 Cd 3.47
In 0.7438 0.0000 0.2562  6 In 3.26-3.52, 4 Tl 3.30-3.43, 1 Cd 3.33
In 0.2562 0.7438 0.0000  6 In 3.26-3.52, 4 Tl 3.30-3.43, 1 Cd 3.33

Output
As for the space group: R-3m (166). The value obtained for the total magnetization is 0.0 Bohr magnetons per cell. The density of states at the Fermi level is 8.3 states/eV/cell. For the calculated total energy, the calculation gives -2.490 eV per atom.

# 10
Here is crystalline Pr2Co3Ni at its relaxed geometry from the Alexandria database. Energies are from PBE.

Lattice parameters (Å, degrees): 5.7401 5.7401 8.0061 112.10 112.10 87.17
Last column: nearest neighbours and their distance in Å.
Fractional coordinates of all 12 atoms:
Co 0.1632 0.6727 0.8359  2 Co 2.24-2.25, 1 Ni 2.33
Co 0.8367 0.8367 0.6733  2 Co 2.24, 1 Ni 2.32
Pr 0.2519 0.2519 0.0000  10 Co 3.06-3.10, 2 Ni 3.08
Co 0.3273 0.8368 0.1641  2 Co 2.24-2.25, 1 Ni 2.33
Pr 0.2500 0.7500 0.5000  4 Ni 3.09, 8 Co 3.10-3.11
Co 0.6727 0.1632 0.8359  2 Co 2.24-2.25, 1 Ni 2.33
Ni 0.6670 0.6670 0.3340  3 Co 2.32-2.33
Ni 0.3330 0.3330 0.6660  3 Co 2.32-2.33
Co 0.1633 0.1633 0.3267  2 Co 2.24, 1 Ni 2.32
Co 0.8368 0.3273 0.1641  2 Co 2.24-2.25, 1 Ni 2.33
Pr 0.7500 0.2500 0.5000  4 Ni 3.09, 8 Co 3.10-3.11
Pr 0.7481 0.7481 0.0000  10 Co 3.06-3.10, 2 Ni 3.08

Output
As for the space group: Fmmm (69). The value obtained for the total magnetization is 3.1 Bohr magnetons per cell. The density of states at the Fermi level is 15.3 states/eV/cell. For the calculated total energy, the calculation gives -6.195 eV per atom.

Which of these has the highest calculated total energy? Tl7CdIn12